Record 1
Below is an optimized crystal structure of KSnHgPb2, with properties calculated at the GGA-PBE level.

a b c (Å): 5.9307 5.8164 5.9307
angles (deg): 90.00 90.00 90.00
Closest atoms and distances in Å follow each position.
Atoms (fractional coordinates):
Pb  0.5000  0.0000  0.0000  2 Sn 2.97
Pb  0.0000  0.0000  0.5000  2 Sn 2.97
Hg  0.0000  0.5000  0.0000  2 Sn 2.91
K  0.5000  0.5000  0.5000  8 Pb 4.15, 4 Hg 4.19
Sn  0.0000  0.0000  0.0000  2 Hg 2.91, 4 Pb 2.97

Calculated values
SG: No. 123


Record 2
Below is an optimized crystal structure of Ba2OsSe, with properties calculated at the GGA-PBE level.

a b c (Å): 7.0040 7.0040 7.0040
angles (deg): 147.35 138.39 53.86
Closest atoms and distances in Å follow each position.
Atoms (fractional coordinates):
Ba  0.7306  0.2306  0.5000  4 Se 3.37, 2 Os 3.64, 2 Ba 3.76
Ba  0.0043  0.0043  0.0000  4 Os 3.26, 2 Se 3.37
Os  0.4429  0.4429  0.0000  2 Se 2.48
Se  0.3222  0.8222  0.5000  2 Os 2.48

Calculated values
Formation energy (no corrections): -43 kJ/mol of formula units
SG: No. 44


Record 3
Below is an optimized crystal structure of MnBe2Al, with properties calculated at the GGA-PBE level.

a b c (Å): 4.3823 4.3823 3.3459
angles (deg): 67.56 67.56 44.46
Closest atoms and distances in Å follow each position.
Atoms (fractional coordinates):
Al  0.7500  0.7500  0.7500  4 Mn 2.36, 8 Be 2.49
Be  0.5006  0.5006  0.4993  4 Be 2.36, 4 Mn 2.48-2.50, 4 Al 2.49
Be  0.9994  0.9994  0.0007  4 Be 2.36, 4 Mn 2.48-2.50, 4 Al 2.49
Mn  0.2500  0.2500  0.2500  4 Al 2.36, 8 Be 2.48-2.50

Calculated values
SG: No. 71


Record 4
Below is an optimized crystal structure of LaMnBPt2, with properties calculated at the GGA-PBE level.

a b c (Å): 4.5633 5.2158 4.5633
angles (deg): 90.00 90.00 90.00
Closest atoms and distances in Å follow each position.
Atoms (fractional coordinates):
Pt  0.5000  0.0000  0.0000  2 Mn 2.28
Pt  0.0000  0.0000  0.5000  2 Mn 2.28
B  0.5000  0.5000  0.5000  4 La 3.23, 8 Pt 3.47
La  0.0000  0.5000  0.0000  2 Mn 2.61
Mn  0.0000  0.0000  0.0000  4 Pt 2.28

Calculated values
SG: No. 123


Values of uncorrected energy, in order: -11.96 -19.00 -20.72 -27.62, all in eV for the cell shown.